The following is a PBE calculation of a relaxed structure of CaCr2Hg, from Alexandria.

a b c (Å): 4.964 3.593 4.828
angles (deg): 89.94 90.00 90.00
Sites, in units of the cell vectors:
Cr 0.000 0.248 0.938
Cr 0.000 0.252 0.562
Ca 0.500 0.750 0.750
Hg 0.500 0.250 0.250

Results
Electronic total energy (eV/cell): -18.8
DOS(E_F) (states/eV per atom): 0.951

=====

The following is a PBE calculation of a relaxed structure of CaCrHg2, from Alexandria.

a b c (Å): 3.557 3.596 7.988
angles (deg): 63.21 90.00 90.00
Sites, in units of the cell vectors:
Cr 0.500 0.750 0.750
Ca 0.500 0.250 0.250
Hg 0.000 0.032 0.969
Hg 0.000 0.468 0.531

Results
Electronic total energy (eV/cell): -12.3
DOS(E_F) (states/eV per atom): 0.607

=====

The following is a PBE calculation of a relaxed structure of CaCr2Hg, from Alexandria.

a b c (Å): 5.453 5.908 3.222
angles (deg): 75.84 86.52 116.42
Sites, in units of the cell vectors:
Cr 0.000 0.000 0.000
Cr 0.500 0.000 0.500
Ca 0.500 0.500 0.000
Hg 0.000 0.500 0.500

Results
Electronic total energy (eV/cell): -18.8
DOS(E_F) (states/eV per atom): 0.746

=====

| no. | V (Å³ per cell) | ΔH_f (0 K) (eV/atom) |
| --- | --- | --- |
| 1 | 86.10 | 0.695 |
| 2 | 91.21 | -0.014 |
| 3 | 88.39 | 0.679 |